# 1
Compound: Ta2TlBr
Source: Alexandria via LeMat-Bulk
Functional: PBE
Structure: optimized geometry

a = 4.9933 Å, b = 4.9933 Å, c = 3.1210 Å
α = 90.00°, β = 90.00°, γ = 90.00°
Space group P4/mmm (No. 123)
Inequivalent atoms, fractional coordinates:
Ta: 0.0000 0.5000 0.0000 [2 per cell]
Tl: 0.0000 0.0000 0.5000 [1 per cell]
Br: 0.5000 0.5000 0.5000 [1 per cell]

Output
- Total magnetic moment: 0.0 Bohr magnetons per cell
- ΔE to the lowest computed polymorph: 673.6 meV per atom
- N(E_F): 0.7767 states/eV per atom
- Energy relative to the elements, uncorrected: 866 meV per atom

=====

# 2
Compound: Ta3Tl2Br9
Source: Alexandria via LeMat-Bulk
Functional: PBE
Structure: optimized geometry

a = 10.8584 Å, b = 17.6905 Å, c = 10.2663 Å
α = 90.00°, β = 114.93°, γ = 90.00°
Space group C2/m (No. 12)
Inequivalent atoms, fractional coordinates:
Ta: 0.1153 0.0000 0.3818 [4 per cell]
Ta: 0.1243 0.0827 0.6335 [8 per cell]
Tl: 0.1108 0.3404 0.8368 [8 per cell]
Br: 0.0000 0.2061 0.5000 [4 per cell]
Br: 0.0124 0.1027 0.8121 [8 per cell]
Br: 0.1884 0.5000 0.1686 [4 per cell]
Br: 0.2012 0.3027 0.1783 [8 per cell]
Br: 0.2032 0.3962 0.4810 [8 per cell]
Br: 0.2268 0.5000 0.7792 [4 per cell]

Output
- Total magnetic moment: 0.0 Bohr magnetons per cell
- Energy relative to the elements, uncorrected: -880 meV per atom